The following is a PBE calculation of a relaxed structure of YPt2Se, from Alexandria.

Computed properties:
V: 75.74 Å³ per cell
size of the total moment: 0.00 μB/f.u.
DOS(E_F): 2.760 states/eV/f.u.
raw formation energy: -773.9 meV per atom
E_tot: -6.281 eV/atom
SG: Pmmm (47)

```
YPt2Se
1.0
3.9857 0.0000 0.0000
0.0000 4.0787 0.0000
0.0000 0.0000 4.6591
Pt Se Y
2 1 1
direct
0.0000 0.0000 0.0000 Pt
0.5000 0.5000 0.0000 Pt
0.5000 0.0000 0.5000 Se
0.0000 0.5000 0.5000 Y
```

The following is a PBE calculation of a relaxed structure of Y2PtSe2, from Alexandria.

Computed properties:
V: 218.66 Å³ per cell
size of the total moment: 0.00 μB/f.u.
DOS(E_F): 1.635 states/eV/f.u.
raw formation energy: -1233.2 meV per atom
E_tot: -6.421 eV/atom
SG: P4/mbm (127)

```
Y2PtSe2
1.0
-2.7023 5.0910 5.1831
-4.3872 -5.5514 3.1654
2.7187 -0.8592 2.2613
Se Y Pt
4 4 2
direct
0.6411 0.1411 0.0000 Se
0.1411 0.3589 0.0000 Se
0.3589 0.8589 0.0000 Se
0.8589 0.6411 0.0000 Se
0.8334 0.3334 0.5000 Y
0.3334 0.1666 0.5000 Y
0.1666 0.6666 0.5000 Y
0.6666 0.8334 0.5000 Y
0.5000 0.5000 0.0000 Pt
0.0000 0.0000 0.0000 Pt
```

The following is a PBE calculation of a relaxed structure of YPt2Se2, from Alexandria.

Computed properties:
V: 101.09 Å³ per cell
size of the total moment: 0.00 μB/f.u.
DOS(E_F): 5.103 states/eV/f.u.
raw formation energy: -482.8 meV per atom
E_tot: -5.586 eV/atom
SG: I4/mmm (139)

```
YPt2Se2
1.0
-2.2189 -1.4460 -2.7061
-1.1702 -2.6883 2.3960
-6.9759 2.1046 1.9463
Pt Se Y
2 2 1
direct
0.7500 0.2500 0.5000 Pt
0.2500 0.7500 0.5000 Pt
0.6031 0.6031 0.7937 Se
0.3969 0.3969 0.2063 Se
0.0000 0.0000 0.0000 Y
```

Question: Which value of E_tot does entry 1 give?
Answer: -6.281 eV/atom

Question: size of the total moment of number 2 (Y2PtSe2)?
Answer: 0.00 μB/f.u.